A plane-wave DFT calculation with PBE-GGA was carried out for a geometry-optimized Pr8Zn2Pb structure. Values from VASP.

Cell and atoms, written as Quantum ESPRESSO input:
```
&SYSTEM
  ibrav = 0, nat = 11, ntyp = 3
/
ATOMIC_SPECIES
Pr 140.91 Pr.upf
Zn 65.41 Zn.upf
Pb 207.20 Pb.upf
ATOMIC_POSITIONS crystal
Pr 0.045 0.045 0.248
Pr 0.171 0.171 0.757
Pr 0.320 0.320 0.539
Pr 0.402 0.402 0.034
Pr 0.598 0.598 0.966
Pr 0.680 0.680 0.461
Pr 0.829 0.829 0.243
Pr 0.955 0.955 0.752
Zn 0.200 0.200 0.156
Zn 0.800 0.800 0.844
Pb 0.500 0.500 0.500
CELL_PARAMETERS angstrom
8.879 -2.551 0.000
8.879 2.551 0.000
-3.500 0.000 7.542
```

## Properties
Space-group type: C2/m (12)
Calculated formation energy: -18.1 kJ per mole of atoms



A plane-wave DFT calculation with PBE-GGA was carried out for a geometry-optimized Pr4Zn3Pb structure. Values from VASP.

Cell and atoms, written as Quantum ESPRESSO input:
```
&SYSTEM
  ibrav = 0, nat = 8, ntyp = 3
/
ATOMIC_SPECIES
Pr 140.91 Pr.upf
Zn 65.41 Zn.upf
Pb 207.20 Pb.upf
ATOMIC_POSITIONS crystal
Pr 0.000 0.500 0.236
Pr 0.000 0.500 0.764
Pr 0.500 0.000 0.236
Pr 0.500 0.000 0.764
Zn 0.000 0.000 0.000
Zn 0.000 0.000 0.500
Zn 0.500 0.500 0.000
Pb 0.500 0.500 0.500
CELL_PARAMETERS angstrom
5.325 0.000 0.000
0.000 5.325 0.000
0.000 0.000 7.669
```

## Properties
Space-group type: P4/mmm (123)
Calculated formation energy: -34.1 kJ per mole of atoms



A plane-wave DFT calculation with PBE-GGA was carried out for a geometry-optimized Pr2ZnPb structure. Values from VASP.

Cell and atoms, written as Quantum ESPRESSO input:
```
&SYSTEM
  ibrav = 0, nat = 12, ntyp = 3
/
ATOMIC_SPECIES
Pr 140.91 Pr.upf
Zn 65.41 Zn.upf
Pb 207.20 Pb.upf
ATOMIC_POSITIONS crystal
Pr 0.000 0.000 0.098
Pr 0.000 0.000 0.902
Pr 0.333 0.667 0.568
Pr 0.333 0.667 0.765
Pr 0.667 0.333 0.235
Pr 0.667 0.333 0.432
Zn 0.000 0.000 0.500
Zn 0.333 0.667 0.167
Zn 0.667 0.333 0.833
Pb 0.000 0.000 0.000
Pb 0.333 0.667 0.667
Pb 0.667 0.333 0.333
CELL_PARAMETERS angstrom
3.621 0.000 0.000
-1.811 3.136 0.000
0.000 0.000 33.693
```

## Properties
Space-group type: R-3m (166)
Calculated formation energy: -1.5 kJ per mole of atoms



A plane-wave DFT calculation with PBE-GGA was carried out for a geometry-optimized PrZn2Pb structure. Values from VASP.

Cell and atoms, written as Quantum ESPRESSO input:
```
&SYSTEM
  ibrav = 0, nat = 12, ntyp = 3
/
ATOMIC_SPECIES
Pr 140.91 Pr.upf
Zn 65.41 Zn.upf
Pb 207.20 Pb.upf
ATOMIC_POSITIONS crystal
Pr 0.000 0.000 0.000
Pr 0.333 0.667 0.667
Pr 0.667 0.333 0.333
Zn 0.000 0.000 0.234
Zn 0.000 0.000 0.766
Zn 0.333 0.667 0.433
Zn 0.333 0.667 0.901
Zn 0.667 0.333 0.099
Zn 0.667 0.333 0.567
Pb 0.000 0.000 0.500
Pb 0.333 0.667 0.167
Pb 0.667 0.333 0.833
CELL_PARAMETERS angstrom
4.656 0.000 0.000
-2.328 4.032 0.000
0.000 0.000 15.684
```

## Properties
Space-group type: R-3m (166)
Calculated formation energy: -19.7 kJ per mole of atoms



A plane-wave DFT calculation with PBE-GGA was carried out for a geometry-optimized Pr5Zn2Pb5 structure. Values from VASP.

Cell and atoms, written as Quantum ESPRESSO input:
```
&SYSTEM
  ibrav = 0, nat = 12, ntyp = 3
/
ATOMIC_SPECIES
Pr 140.91 Pr.upf
Zn 65.41 Zn.upf
Pb 207.20 Pb.upf
ATOMIC_POSITIONS crystal
Pr 0.000 0.000 0.000
Pr 0.106 0.106 0.415
Pr 0.194 0.194 0.826
Pr 0.806 0.806 0.174
Pr 0.894 0.894 0.585
Zn 0.363 0.363 0.770
Zn 0.637 0.637 0.230
Pb 0.255 0.255 0.323
Pb 0.434 0.434 0.139
Pb 0.500 0.500 0.500
Pb 0.566 0.566 0.861
Pb 0.745 0.745 0.677
CELL_PARAMETERS angstrom
8.380 -2.354 0.000
8.380 2.354 0.000
-7.270 0.000 8.931
```

## Properties
Space-group type: C2/m (12)
Calculated formation energy: -46.6 kJ per mole of atoms



A plane-wave DFT calculation with PBE-GGA was carried out for a geometry-optimized Pr2ZnPb structure. Values from VASP.

Cell and atoms, written as Quantum ESPRESSO input:
```
&SYSTEM
  ibrav = 0, nat = 8, ntyp = 3
/
ATOMIC_SPECIES
Pr 140.91 Pr.upf
Zn 65.41 Zn.upf
Pb 207.20 Pb.upf
ATOMIC_POSITIONS crystal
Pr 0.210 0.250 0.444
Pr 0.217 0.250 0.913
Pr 0.783 0.750 0.087
Pr 0.790 0.750 0.556
Zn 0.358 0.750 0.712
Zn 0.642 0.250 0.288
Pb 0.333 0.750 0.207
Pb 0.667 0.250 0.793
CELL_PARAMETERS angstrom
6.395 0.000 0.000
0.000 4.469 0.000
-3.096 0.000 8.322
```

## Properties
Space-group type: P2_1/m (11)
Calculated formation energy: -39.3 kJ per mole of atoms